1.
Here is a geometry-optimized Dy2Ga5Au4 structure from Alexandria via LeMat-Bulk. Energies are from PBE.

Cell: 5.361 5.262 9.553 Å, 81.78 73.70 59.37°
Fractional positions:
Dy (0.902, 0.000, 0.196)
Dy (0.098, 0.000, 0.804)
Ga (0.500, 0.000, 0.000)
Ga (0.000, 0.500, 0.000)
Ga (0.500, 0.500, 0.000)
Ga (0.250, 0.500, 0.500)
Ga (0.750, 0.500, 0.500)
Au (0.474, 0.322, 0.730)
Au (0.526, 0.678, 0.270)
Au (0.204, 0.322, 0.270)
Au (0.796, 0.678, 0.730)

Values from the calculation:
The calculation puts the total magnetic moment at 0.00 μB/f.u. Its formation enthalpy at 0 K is -0.486 eV/atom. As for the final energy: -3.89 eV per atom. The calculation puts the density of states at the Fermi level at 4.28 states/eV per cell.


2.
Here is a geometry-optimized DyGa8Au6 structure from Alexandria via LeMat-Bulk. Energies are from PBE.

Cell: 7.538 7.538 7.679 Å, 60.61 60.61 60.00°
Fractional positions:
Dy (0.000, 0.000, 0.000)
Ga (0.571, 0.201, 0.353)
Ga (0.799, 0.125, 0.647)
Ga (0.125, 0.429, 0.647)
Ga (0.665, 0.665, 0.005)
Ga (0.335, 0.335, 0.995)
Ga (0.875, 0.571, 0.353)
Ga (0.201, 0.875, 0.353)
Ga (0.429, 0.799, 0.647)
Au (0.429, 0.069, 0.779)
Au (0.931, 0.277, 0.221)
Au (0.277, 0.571, 0.221)
Au (0.723, 0.429, 0.779)
Au (0.069, 0.723, 0.779)
Au (0.571, 0.931, 0.221)

Values from the calculation:
The calculation puts the total magnetic moment at 0.00 μB/f.u. Its formation enthalpy at 0 K is -0.259 eV/atom. As for the final energy: -3.49 eV per atom. The calculation puts the density of states at the Fermi level at 4.50 states/eV per cell.


3.
Here is a geometry-optimized DyGa5Au7 structure from Alexandria via LeMat-Bulk. Energies are from PBE.

Cell: 5.640 7.123 7.123 Å, 82.60 66.68 66.68°
Fractional positions:
Dy (0.989, 0.011, 0.011)
Ga (0.496, 0.003, 0.491)
Ga (0.010, 0.003, 0.491)
Ga (0.496, 0.491, 0.003)
Ga (0.010, 0.491, 0.003)
Ga (0.744, 0.756, 0.756)
Au (0.663, 0.337, 0.337)
Au (0.309, 0.691, 0.691)
Au (0.990, 0.340, 0.679)
Au (0.990, 0.679, 0.340)
Au (0.269, 0.231, 0.231)
Au (0.516, 0.795, 0.173)
Au (0.516, 0.173, 0.795)

Values from the calculation:
The calculation puts the total magnetic moment at 0.00 μB/f.u. Its formation enthalpy at 0 K is -0.285 eV/atom. As for the final energy: -3.57 eV per atom. The calculation puts the density of states at the Fermi level at 3.44 states/eV per cell.


4.
Here is a geometry-optimized Dy3Ga7Au4 structure from Alexandria via LeMat-Bulk. Energies are from PBE.

Cell: 4.380 8.345 8.338 Å, 71.37 74.77 74.78°
Fractional positions:
Dy (0.310, 0.191, 0.188)
Dy (0.690, 0.809, 0.812)
Dy (0.000, 0.500, 0.500)
Ga (0.330, 0.800, 0.539)
Ga (0.504, 0.196, 0.795)
Ga (0.851, 0.369, 0.928)
Ga (0.670, 0.200, 0.461)
Ga (0.149, 0.631, 0.072)
Ga (0.000, 0.000, 0.000)
Ga (0.496, 0.804, 0.205)
Au (0.652, 0.478, 0.219)
Au (0.348, 0.522, 0.781)
Au (0.864, 0.908, 0.364)
Au (0.136, 0.092, 0.636)

Values from the calculation:
The calculation puts the total magnetic moment at 0.00 μB/f.u. Its formation enthalpy at 0 K is -0.614 eV/atom. As for the final energy: -4.05 eV per atom. The calculation puts the density of states at the Fermi level at 4.54 states/eV per cell.


5.
Here is a geometry-optimized DyGa2Au8 structure from Alexandria via LeMat-Bulk. Energies are from PBE.

Cell: 4.048 6.989 7.849 Å, 106.08 104.94 90.00°
Fractional positions:
Au (0.610, 0.457, 0.220)
Au (0.321, 0.101, 0.642)
Au (0.144, 0.189, 0.288)
Au (0.039, 0.715, 0.077)
Au (0.856, 0.811, 0.712)
Au (0.679, 0.899, 0.358)
Au (0.390, 0.543, 0.780)
Au (0.961, 0.285, 0.923)
Ga (0.223, 0.662, 0.445)
Ga (0.777, 0.338, 0.555)
Dy (0.500, 0.000, 0.000)

Values from the calculation:
The calculation puts the total magnetic moment at 0.00 μB/f.u. The value obtained for the excess energy over the best structure of this formula in the dataset is 0.0000 eV per atom. Its formation enthalpy at 0 K is -0.300 eV/atom. As for the final energy: -3.65 eV per atom. The calculation puts the density of states at the Fermi level at 3.14 states/eV per cell.


6.
Here is a geometry-optimized DyGaAu structure from Alexandria via LeMat-Bulk. Energies are from PBE.

Cell: 3.443 3.443 5.852 Å, 107.11 107.11 90.00°
Fractional positions:
Au (0.937, 0.937, 0.874)
Ga (0.299, 0.299, 0.598)
Dy (0.614, 0.614, 0.228)

Values from the calculation:
The calculation puts the total magnetic moment at 0.02 μB/f.u. Its formation enthalpy at 0 K is -0.557 eV/atom. As for the final energy: -4.19 eV per atom. The calculation puts the density of states at the Fermi level at 2.29 states/eV per cell.


7.
Here is a geometry-optimized Dy3Ga12Au structure from Alexandria via LeMat-Bulk. Energies are from PBE.

Cell: 4.280 4.280 16.786 Å, 90.00 90.00 90.00°
Fractional positions:
Dy (0.000, 0.000, 0.244)
Dy (0.000, 0.000, 0.500)
Dy (0.000, 0.000, 0.756)
Ga (0.500, 0.500, 0.000)
Ga (0.500, 0.500, 0.253)
Ga (0.500, 0.500, 0.500)
Ga (0.500, 0.500, 0.747)
Ga (0.500, 0.000, 0.113)
Ga (0.500, 0.000, 0.372)
Ga (0.500, 0.000, 0.628)
Ga (0.500, 0.000, 0.887)
Ga (0.000, 0.500, 0.113)
Ga (0.000, 0.500, 0.372)
Ga (0.000, 0.500, 0.628)
Ga (0.000, 0.500, 0.887)
Au (0.000, 0.000, 0.000)

Values from the calculation:
The calculation puts the total magnetic moment at 0.00 μB/f.u. Its formation enthalpy at 0 K is -0.395 eV/atom. As for the final energy: -3.73 eV per atom. The calculation puts the density of states at the Fermi level at 4.47 states/eV per cell.


8.
Here is a geometry-optimized DyGa2Au6 structure from Alexandria via LeMat-Bulk. Energies are from PBE.

Cell: 5.618 5.618 7.237 Å, 90.00 90.00 120.00°
Fractional positions:
Dy (0.000, 0.000, 0.000)
Ga (0.333, 0.667, 0.500)
Ga (0.667, 0.333, 0.500)
Au (0.500, 0.000, 0.201)
Au (0.500, 0.500, 0.201)
Au (0.000, 0.500, 0.201)
Au (0.500, 0.500, 0.799)
Au (0.000, 0.500, 0.799)
Au (0.500, 0.000, 0.799)

Values from the calculation:
The calculation puts the total magnetic moment at 0.00 μB/f.u. The value obtained for the excess energy over the best structure of this formula in the dataset is 0.0441 eV per atom. Its formation enthalpy at 0 K is -0.292 eV/atom. As for the final energy: -3.66 eV per atom. The calculation puts the density of states at the Fermi level at 2.07 states/eV per cell.